Here is TlMo2F7 after structural relaxation from the Alexandria database. Energies are from PBE+U.

```
data_TlMo2F7
_symmetry_space_group_name_H-M 'C m m m'
_symmetry_Int_Tables_number 65
_symmetry_space_group_name_Hall '-C 2 2'
_cell_length_a 6.6958
_cell_length_b 11.8968
_cell_length_c 4.2022
_cell_angle_alpha 90.00
_cell_angle_beta 90.00
_cell_angle_gamma 90.00
loop_
_atom_site_label
_atom_site_fract_x
_atom_site_fract_y
_atom_site_fract_z
Tl1 0.0000 0.0000 0.0000
Mo1 0.0000 0.3240 0.5000
F1 0.0000 0.3215 0.0000
F2 0.0000 0.5000 0.5000
F3 0.1870 0.1509 0.5000
```

Density of states at the Fermi level ... 0.00 states/eV/f.u.
Size of the total moment ... 12.00 μB/cell
Energy ... -5.315 eV per atom